First-principles (PBE) data for crystalline Th2ScGa at its relaxed geometry, as listed in the Alexandria database.

abc: 11.960 11.960 11.960
angles: 16.27 16.27 16.27
Element x y z (fractional)
Th (0.087, 0.087, 0.087)
Th (0.913, 0.913, 0.913)
Sc (0.500, 0.500, 0.500)
Ga (0.000, 0.000, 0.000)

Values from the calculation:
Its space group is R-3m. The total DFT energy (no corrections) comes out at -5.82 eV per atom. The value obtained for the formation energy is 231 meV/atom. As for the density of states at the Fermi level: 1.35 states/eV/atom.